VAuO2: relaxed, PBE+U.

Properties
**DFT total energy**: -6.1808 eV per atom
**Volume**: 64.45 Å³/cell

abc: 2.818 2.818 8.264
angles: 99.31 95.67 90.00
Positions (direct):
O 0.796 0.407 0.481
O 0.370 0.028 0.737
V 0.313 0.934 0.539
Au 0.185 0.721 0.097